Entry from Alexandria: a relaxed structure of CdHgS2 (PBE).

POSCAR file:
```
CdHgS2
1.0
4.218 0.000 0.000
-0.004 7.293 0.000
-0.004 -2.445 6.888
Cd Hg S
2 2 4
Cartesian
0.000 0.000 0.000 Cd
2.100 6.068 3.443 Cd
-0.001 2.403 3.443 Hg
2.111 1.182 6.886 Hg
0.000 2.421 6.032 S
2.104 -1.261 6.015 S
2.107 3.642 2.588 S
4.213 -0.040 2.571 S
```

* relative energy among the computed polymorphs: 0 meV per atom
* formation energy from raw total energies: -383.1 meV/atom

---

Entry from Alexandria: a relaxed structure of Ac8TlGe3I4 (PBE).

POSCAR file:
```
Ac8TlGe3I4
1.0
4.716 2.723 7.978
-4.716 2.723 7.978
0.000 -5.445 7.978
Ac Tl Ge I
8 1 3 4
Cartesian
-2.421 -1.398 13.629 Ac
0.000 0.000 5.604 Ac
0.000 -2.796 10.303 Ac
-2.421 1.398 10.303 Ac
2.421 -1.398 13.629 Ac
0.000 2.796 13.629 Ac
0.000 0.000 18.328 Ac
2.421 1.398 10.303 Ac
0.000 0.000 11.966 Tl
-4.716 0.000 11.966 Ge
-2.358 1.361 3.989 Ge
2.358 1.361 3.989 Ge
0.000 0.000 0.000 I
-2.358 -1.361 7.978 I
-2.358 1.361 15.955 I
0.000 2.723 7.978 I
```

* formation energy from raw total energies: -911.6 meV/atom

---

Entry from Alexandria: a relaxed structure of Bi4TeS5 (PBE).

POSCAR file:
```
Bi4TeS5
1.0
9.068 -2.072 0.000
9.068 2.072 0.000
-1.583 0.000 8.560
Bi Te S
4 1 5
Cartesian
-0.219 0.000 2.424 Bi
4.386 0.000 7.693 Bi
12.167 0.000 0.867 Bi
16.771 0.000 6.136 Bi
9.068 0.000 0.000 Te
2.316 0.000 2.747 S
1.665 0.000 7.508 S
8.276 0.000 4.280 S
14.887 0.000 1.052 S
14.236 0.000 5.813 S
```

* formation energy from raw total energies: -248.7 meV/atom

---

Entry from Alexandria: a relaxed structure of Rb2LaBiI6 (PBE).

POSCAR file:
```
Rb2LaBiI6
1.0
-4.398 4.398 7.336
4.398 -4.398 7.336
4.398 4.398 -7.336
Rb La Bi I
2 1 1 6
Cartesian
4.398 0.000 3.668 Rb
0.000 4.398 3.668 Rb
0.000 0.000 0.000 La
0.000 0.000 7.336 Bi
0.000 0.000 3.166 I
2.216 2.216 0.000 I
2.182 -2.182 7.336 I
-2.182 2.182 7.336 I
2.182 2.182 7.336 I
0.000 0.000 11.506 I
```

* formation energy from raw total energies: -1041.0 meV/atom

---

Entry from Alexandria: a relaxed structure of Ce2Co5As4 (PBE).

POSCAR file:
```
Ce2Co5As4
1.0
0.000 4.796 6.881
2.688 0.000 6.881
2.688 4.796 0.000
Ce Co As
2 5 4
Cartesian
2.688 4.796 1.875 Ce
2.688 4.796 11.886 Ce
1.344 2.398 0.000 Co
1.344 2.398 3.440 Co
1.344 2.398 6.881 Co
2.688 4.796 6.881 Co
4.032 7.195 10.321 Co
2.688 3.283 5.107 As
2.688 3.283 8.654 As
2.688 6.310 5.107 As
2.688 6.310 8.654 As
```

* ΔE_f: -0.53 eV/atom

---

Entry from Alexandria: a relaxed structure of SiAg2OF (PBE).

POSCAR file:
```
SiAg2OF
1.0
4.226 0.000 0.000
0.000 4.226 0.000
0.000 0.000 4.822
Si Ag O F
1 2 1 1
Cartesian
0.000 0.000 0.000 Si
0.000 2.113 2.411 Ag
2.113 0.000 2.411 Ag
2.113 2.113 0.000 O
2.113 2.113 2.411 F
```

* formation energy from raw total energies: 504.1 meV/atom

---

Entry from Alexandria: a relaxed structure of ScBe2As (PBE).

POSCAR file:
```
ScBe2As
1.0
3.763 0.000 0.000
0.000 3.773 0.000
0.000 0.000 4.344
Sc Be As
1 2 1
Cartesian
0.000 0.000 0.000 Sc
1.882 1.886 0.993 Be
1.882 1.886 3.351 Be
1.882 0.000 2.172 As
```

* ΔE_f: -0.20 eV/atom

---

Entry from Alexandria: a relaxed structure of Li4Sn3Au (PBE).

POSCAR file:
```
Li4Sn3Au
1.0
3.457 0.000 0.000
0.000 3.457 0.000
0.000 0.000 12.680
Li Sn Au
4 3 1
Cartesian
0.000 0.000 1.349 Li
0.000 0.000 4.644 Li
0.000 0.000 8.036 Li
0.000 0.000 11.332 Li
1.728 1.728 2.949 Sn
1.728 1.728 6.340 Sn
1.728 1.728 9.731 Sn
1.728 1.728 0.000 Au
```

* ΔE_f: -0.38 eV/atom

---

Entry from Alexandria: a relaxed structure of Ti5MnFe4 (PBE).

POSCAR file:
```
Ti5MnFe4
1.0
2.953 0.000 0.000
0.000 2.953 0.000
0.000 0.000 14.810
Ti Mn Fe
5 1 4
Cartesian
0.000 0.000 0.000 Ti
0.000 0.000 2.970 Ti
0.000 0.000 5.938 Ti
0.000 0.000 8.873 Ti
0.000 0.000 11.840 Ti
1.477 1.477 7.405 Mn
1.477 1.477 1.469 Fe
1.477 1.477 4.403 Fe
1.477 1.477 10.407 Fe
1.477 1.477 13.342 Fe
```

* ΔE_f: -0.39 eV/atom

---

Entry from Alexandria: a relaxed structure of TiGa2As2 (PBE).

POSCAR file:
```
TiGa2As2
1.0
6.767 0.000 0.000
0.000 6.767 0.000
0.000 0.000 4.058
Ti Ga As
2 4 4
Cartesian
0.000 0.000 0.000 Ti
3.384 3.384 0.000 Ti
1.111 2.272 2.029 Ga
2.272 5.656 2.029 Ga
4.495 1.111 2.029 Ga
5.656 4.495 2.029 Ga
1.011 4.395 0.000 As
2.372 1.011 0.000 As
4.395 5.756 0.000 As
5.756 2.372 0.000 As
```

* ΔE_f: -0.14 eV/atom

---

Entry from Alexandria: a relaxed structure of LaTb8Tm2 (PBE).

POSCAR file:
```
LaTb8Tm2
1.0
-2.764 4.099 7.934
2.764 -4.099 7.934
2.764 4.099 -7.934
La Tb Tm
1 8 2
Cartesian
0.000 0.000 0.000 La
2.764 -1.679 5.700 Tb
2.764 0.000 2.608 Tb
2.764 2.434 0.000 Tb
0.000 2.419 2.234 Tb
2.764 1.679 5.700 Tb
0.000 1.664 7.934 Tb
0.000 4.099 5.326 Tb
0.000 5.778 2.234 Tb
0.000 0.000 4.772 Tm
0.000 0.000 11.096 Tm
```

* relative energy among the computed polymorphs: 0 meV per atom
* ΔE_f: 0.12 eV/atom

---

Entry from Alexandria: a relaxed structure of RbSrDyI6 (PBE).

POSCAR file:
```
RbSrDyI6
1.0
8.265 0.000 0.000
-4.133 7.158 0.000
0.000 0.000 15.881
Rb Sr Dy I
2 2 2 12
Cartesian
0.000 0.000 0.000 Rb
0.000 0.000 7.940 Rb
0.000 4.772 3.970 Sr
4.133 2.386 11.911 Sr
0.000 4.772 11.911 Dy
4.133 2.386 3.970 Dy
-1.387 2.730 10.115 I
-2.462 4.592 13.707 I
1.387 2.730 13.707 I
-1.075 6.994 10.115 I
3.058 0.164 2.174 I
1.671 2.566 5.766 I
2.462 4.592 10.115 I
1.075 6.994 13.707 I
5.207 0.164 5.766 I
2.746 4.428 2.174 I
6.594 2.566 2.174 I
5.519 4.428 5.766 I
```

* formation energy from raw total energies: -1531.4 meV/atom